DFT (GGA-PBE) results for a geometry-optimized CuSb2Os structure.

Unit cell a=5.437 b=5.437 c=5.437 alpha=136.70 beta=136.70 gamma=62.90
Fractional coordinates of all 4 atoms:
1 Cu 0.000 0.000 0.000
2 Sb 0.500 0.500 0.000
3 Sb 0.750 0.250 0.500
4 Os 0.250 0.750 0.500

Raw formation energy (eV/atom): 0.65
Total DFT energy (no corrections) (eV per atom): -5.24

=====

DFT (GGA-PBE) results for a geometry-optimized Ca3Ac2Hg4 structure.

Unit cell a=5.491 b=5.491 c=10.924 alpha=90.00 beta=90.00 gamma=120.00
Fractional coordinates of all 9 atoms:
1 Ca 0.000 0.000 0.000
2 Ca 0.333 0.667 0.412
3 Ca 0.667 0.333 0.588
4 Ac 0.333 0.667 0.792
5 Ac 0.667 0.333 0.208
6 Hg 0.000 0.000 0.348
7 Hg 0.000 0.000 0.652
8 Hg 0.333 0.667 0.101
9 Hg 0.667 0.333 0.899

Total DFT energy (no corrections) (eV per atom): -2.16
Energy relative to the elements (kJ/mol of formula units): -385

=====

DFT (GGA-PBE) results for a geometry-optimized TcW2Cl structure.

Unit cell a=2.849 b=4.140 c=5.441 alpha=90.00 beta=90.00 gamma=90.00
Fractional coordinates of all 4 atoms:
1 Tc 0.000 0.000 0.000
2 W 0.500 0.500 0.229
3 W 0.500 0.500 0.771
4 Cl 0.000 0.000 0.500

Raw formation energy (eV/atom): 0.80
Total DFT energy (no corrections) (eV per atom): -8.73

=====

DFT (GGA-PBE) results for a geometry-optimized SrLiW2 structure.

Unit cell a=4.742 b=4.742 c=4.742 alpha=60.00 beta=60.00 gamma=60.00
Fractional coordinates of all 4 atoms:
1 Sr 0.000 0.000 0.000
2 Li 0.500 0.500 0.500
3 W 0.250 0.250 0.250
4 W 0.750 0.750 0.750

Total DFT energy (no corrections) (eV per atom): -5.46
Energy relative to the elements (kJ/mol of formula units): 740

=====

DFT (GGA-PBE) results for a geometry-optimized BeSbBr2 structure.

Unit cell a=5.093 b=5.093 c=5.093 alpha=60.00 beta=60.00 gamma=60.00
Fractional coordinates of all 4 atoms:
1 Be 0.000 0.000 0.000
2 Sb 0.250 0.250 0.250
3 Br 0.500 0.500 0.500
4 Br 0.750 0.750 0.750

Raw formation energy (eV/atom): 0.69
Total DFT energy (no corrections) (eV per atom): -2.11

=====

DFT (GGA-PBE) results for a geometry-optimized Sr3BeH structure.

Unit cell a=5.273 b=5.273 c=5.273 alpha=90.00 beta=90.00 gamma=90.00
Fractional coordinates of all 5 atoms:
1 Sr 0.000 0.000 0.500
2 Sr 0.000 0.500 0.000
3 Sr 0.500 0.000 0.000
4 Be 0.500 0.500 0.500
5 H 0.000 0.000 0.000

Total DFT energy (no corrections) (eV per atom): -2.21

=====

DFT (GGA-PBE) results for a geometry-optimized Er4Al2Tl structure.

Unit cell a=8.791 b=8.791 c=8.791 alpha=33.69 beta=33.69 gamma=33.69
Fractional coordinates of all 7 atoms:
1 Er 0.116 0.116 0.116
2 Er 0.370 0.370 0.370
3 Er 0.630 0.630 0.630
4 Er 0.884 0.884 0.884
5 Al 0.250 0.250 0.250
6 Al 0.750 0.750 0.750
7 Tl 0.500 0.500 0.500

Total DFT energy (no corrections) (eV per atom): -4.22
Energy relative to the elements (kJ/mol of formula units): -136

=====

DFT (GGA-PBE) results for a geometry-optimized Sr2PrZn structure.

Unit cell a=12.390 b=12.390 c=12.390 alpha=17.94 beta=17.94 gamma=17.94
Fractional coordinates of all 4 atoms:
1 Sr 0.102 0.102 0.102
2 Sr 0.898 0.898 0.898
3 Pr 0.000 0.000 0.000
4 Zn 0.500 0.500 0.500

Total DFT energy (no corrections) (eV per atom): -2.13
Energy relative to the elements (kJ/mol of formula units): 87